Run a
The following is a GGA-PBE calculation of a relaxed structure of PmDy3Al2, from the Alexandria database.

Cell lengths 7.776, 7.776, 4.447 Å; angles 90.00, 90.00, 144.10 degrees
Fractional positions:
Pm: 0.000 0.000 0.000
Dy: 0.174 0.826 0.500
Dy: 0.500 0.500 0.500
Dy: 0.826 0.174 0.500
Al: 0.338 0.662 0.000
Al: 0.662 0.338 0.000

N(E_F)	5.6	states/eV/f.u.



Run b
The following is a GGA-PBE calculation of a relaxed structure of PmDy3Al2, from the Alexandria database.

Cell lengths 3.556, 3.556, 12.650 Å; angles 90.00, 90.00, 90.00 degrees
Fractional positions:
Pm: 0.000 0.000 0.000
Dy: 0.500 0.500 0.206
Dy: 0.500 0.500 0.500
Dy: 0.500 0.500 0.794
Al: 0.000 0.000 0.352
Al: 0.000 0.000 0.648

N(E_F)	5.5	states/eV/f.u.



Top of the stability list: run b, leading by 0.075 eV/atom.



Run a
The following is a GGA-PBE calculation of a relaxed structure of Pm2Dy3Al3, from the Alexandria database.

Cell lengths 11.398, 11.398, 11.398 Å; angles 161.25, 153.89, 32.34 degrees
Fractional positions:
Pm: 0.229 0.229 0.000
Pm: 0.771 0.771 0.000
Dy: 0.000 0.000 0.000
Dy: 0.383 0.883 0.500
Dy: 0.617 0.117 0.500
Al: 0.113 0.613 0.500
Al: 0.500 0.500 0.000
Al: 0.887 0.387 0.500

N(E_F)	5.1	states/eV/f.u.



Run b
The following is a GGA-PBE calculation of a relaxed structure of Pm2Dy3Al3, from the Alexandria database.

Cell lengths 4.824, 4.836, 8.923 Å; angles 90.00, 90.00, 90.00 degrees
Fractional positions:
Pm: 0.000 0.000 0.233
Pm: 0.000 0.000 0.767
Dy: 0.500 0.000 0.500
Dy: 0.500 0.500 0.223
Dy: 0.500 0.500 0.777
Al: 0.000 0.500 0.000
Al: 0.000 0.500 0.500
Al: 0.500 0.000 0.000

N(E_F)	8.1	states/eV/f.u.



Top of the stability list: run a, leading by 0.017 eV/atom.



Run a
The following is a GGA-PBE calculation of a relaxed structure of Pm4DyAl, from the Alexandria database.

Cell lengths 8.332, 8.332, 6.362 Å; angles 100.16, 100.16, 115.33 degrees
Fractional positions:
Pm: 0.083 0.716 0.953
Pm: 0.168 0.394 0.625
Pm: 0.284 0.917 0.547
Pm: 0.394 0.168 0.125
Pm: 0.606 0.832 0.875
Pm: 0.716 0.083 0.453
Pm: 0.832 0.606 0.375
Pm: 0.917 0.284 0.047
Dy: 0.408 0.592 0.250
Dy: 0.592 0.408 0.750
Al: 0.000 0.000 0.250
Al: 0.000 0.000 0.750

N(E_F)	8.2	states/eV/f.u.



Run b
The following is a GGA-PBE calculation of a relaxed structure of Pm4DyAl, from the Alexandria database.

Cell lengths 3.595, 3.595, 14.406 Å; angles 90.00, 90.00, 90.00 degrees
Fractional positions:
Pm: 0.000 0.000 0.136
Pm: 0.000 0.000 0.864
Pm: 0.500 0.500 0.322
Pm: 0.500 0.500 0.678
Dy: 0.000 0.000 0.500
Al: 0.500 0.500 0.000

N(E_F)	7.1	states/eV/f.u.



Top of the stability list: run b, leading by 0.072 eV/atom.



Run a
The following is a GGA-PBE calculation of a relaxed structure of Pm2DyAl2, from the Alexandria database.

Cell lengths 5.822, 5.822, 5.822 Å; angles 130.12, 108.54, 92.16 degrees
Fractional positions:
Pm: 0.198 0.198 0.000
Pm: 0.802 0.802 0.000
Dy: 0.500 0.000 0.500
Al: 0.198 0.500 0.698
Al: 0.802 0.500 0.302

N(E_F)	4.6	states/eV/f.u.



Run b
The following is a GGA-PBE calculation of a relaxed structure of Pm2DyAl2, from the Alexandria database.

Cell lengths 6.257, 3.658, 12.722 Å; angles 90.00, 96.58, 90.00 degrees
Fractional positions:
Pm: 0.068 0.250 0.358
Pm: 0.225 0.750 0.927
Pm: 0.775 0.250 0.073
Pm: 0.932 0.750 0.642
Dy: 0.464 0.250 0.710
Dy: 0.536 0.750 0.290
Al: 0.287 0.250 0.127
Al: 0.345 0.750 0.516
Al: 0.655 0.250 0.484
Al: 0.713 0.750 0.873

N(E_F)	5.2	states/eV/f.u.



Top of the stability list: run a, leading by 0.165 eV/atom.



Run a
The following is a GGA-PBE calculation of a relaxed structure of PmDy2Al6, from the Alexandria database.

Cell lengths 7.955, 7.955, 7.955 Å; angles 147.85, 126.16, 64.11 degrees
Fractional positions:
Pm: 0.000 0.000 0.000
Dy: 0.376 0.876 0.500
Dy: 0.624 0.124 0.500
Al: 0.009 0.315 0.694
Al: 0.316 0.500 0.816
Al: 0.380 0.685 0.694
Al: 0.620 0.315 0.306
Al: 0.684 0.500 0.184
Al: 0.991 0.685 0.306

N(E_F)	5.1	states/eV/f.u.



Run b
The following is a GGA-PBE calculation of a relaxed structure of PmDy2Al6, from the Alexandria database.

Cell lengths 7.931, 7.931, 3.534 Å; angles 90.00, 90.00, 120.00 degrees
Fractional positions:
Pm: 0.000 0.000 0.000
Dy: 0.333 0.667 0.000
Dy: 0.667 0.333 0.000
Al: 0.000 0.335 0.500
Al: 0.000 0.665 0.500
Al: 0.335 0.000 0.500
Al: 0.335 0.335 0.500
Al: 0.665 0.000 0.500
Al: 0.665 0.665 0.500

N(E_F)	4.1	states/eV/f.u.



Top of the stability list: run b, leading by 0.229 eV/atom.



Run a
The following is a GGA-PBE calculation of a relaxed structure of Pm5DyAl2, from the Alexandria database.

Cell lengths 8.316, 8.316, 8.316 Å; angles 154.67, 100.35, 85.21 degrees
Fractional positions:
Pm: 0.000 0.000 0.000
Pm: 0.077 0.359 0.718
Pm: 0.360 0.641 0.718
Pm: 0.640 0.359 0.282
Pm: 0.923 0.641 0.282
Dy: 0.500 0.000 0.500
Al: 0.277 0.277 0.000
Al: 0.723 0.723 0.000

N(E_F)	10.6	states/eV/f.u.



Run b
The following is a GGA-PBE calculation of a relaxed structure of Pm5DyAl2, from the Alexandria database.

Cell lengths 5.404, 5.404, 19.981 Å; angles 90.00, 90.00, 120.00 degrees
Fractional positions:
Pm: 0.000 0.000 0.156
Pm: 0.000 0.000 0.344
Pm: 0.000 0.000 0.656
Pm: 0.000 0.000 0.844
Pm: 0.333 0.667 0.056
Pm: 0.333 0.667 0.250
Pm: 0.333 0.667 0.444
Pm: 0.667 0.333 0.556
Pm: 0.667 0.333 0.750
Pm: 0.667 0.333 0.944
Dy: 0.333 0.667 0.750
Dy: 0.667 0.333 0.250
Al: 0.333 0.667 0.601
Al: 0.333 0.667 0.899
Al: 0.667 0.333 0.101
Al: 0.667 0.333 0.399

N(E_F)	12.7	states/eV/f.u.



Top of the stability list: run a, leading by 0.038 eV/atom.



Run a
The following is a GGA-PBE calculation of a relaxed structure of PmDyAlPt, from the Alexandria database.

Cell lengths 3.940, 6.155, 6.155 Å; angles 40.99, 90.00, 90.00 degrees
Fractional positions:
Pm: 0.000 0.000 0.000
Dy: 0.500 0.710 0.710
Al: 0.500 0.408 0.408
Pt: 0.000 0.262 0.262

N(E_F)	2.6	states/eV/f.u.



Run b
The following is a GGA-PBE calculation of a relaxed structure of PmDyAlPt, from the Alexandria database.

Cell lengths 5.101, 5.101, 5.101 Å; angles 60.00, 60.00, 60.00 degrees
Fractional positions:
Pm: 0.000 0.000 0.000
Dy: 0.500 0.500 0.500
Al: 0.250 0.250 0.250
Pt: 0.750 0.750 0.750

N(E_F)	2.5	states/eV/f.u.



Top of the stability list: run a, leading by 0.131 eV/atom.



Run a
The following is a GGA-PBE calculation of a relaxed structure of TbPmDyAl, from the Alexandria database.

Cell lengths 5.397, 5.397, 5.397 Å; angles 60.00, 60.00, 60.00 degrees
Fractional positions:
Tb: 0.000 0.000 0.000
Pm: 0.750 0.750 0.750
Dy: 0.250 0.250 0.250
Al: 0.500 0.500 0.500

N(E_F)	7.3	states/eV/f.u.



Run b
The following is a GGA-PBE calculation of a relaxed structure of TbPmDyAl, from the Alexandria database.

Cell lengths 3.535, 3.535, 9.107 Å; angles 90.00, 90.00, 90.00 degrees
Fractional positions:
Tb: 0.000 0.000 0.000
Pm: 0.500 0.500 0.291
Dy: 0.000 0.000 0.579
Al: 0.500 0.500 0.788

N(E_F)	3.2	states/eV/f.u.



Top of the stability list: run b, leading by 0.147 eV/atom.